Record 1
DFT (PBE) results for crystalline TcAgSeBr2 at its relaxed geometry.

POSCAR file:
```
TcAgSeBr2
1.0
5.155 0.000 0.000
0.000 5.155 0.000
0.000 0.000 5.307
Tc Ag Se Br
1 1 1 2
Direct
0.000 0.000 0.000 Tc
0.500 0.500 0.500 Ag
0.500 0.500 0.000 Se
0.000 0.500 0.500 Br
0.500 0.000 0.500 Br
```

Summary:
As for the space group: P4/mmm. The volume is 141.0 Å³ per cell. The value obtained for the density of states at the Fermi level is 0.218 states/eV/atom. Its uncorrected formation energy is 0.8430 eV/atom. Its energy relative to the lowest polymorph listed for this composition is 580.1 meV per atom.

=====

Record 2
DFT (PBE) results for crystalline TcAgSe2Br at its relaxed geometry.

POSCAR file:
```
TcAgSe2Br
1.0
4.782 0.000 0.000
0.000 4.782 0.000
0.000 0.000 5.519
Tc Ag Se Br
1 1 2 1
Direct
0.000 0.000 0.000 Tc
0.500 0.500 0.500 Ag
0.000 0.500 0.000 Se
0.500 0.000 0.000 Se
0.000 0.000 0.500 Br
```

Summary:
As for the space group: P4/mmm. The volume is 126.2 Å³ per cell. The value obtained for the density of states at the Fermi level is 0.719 states/eV/atom. Its uncorrected formation energy is 0.2995 eV/atom. Its energy relative to the lowest polymorph listed for this composition is 0.0 meV per atom.

=====

Record 3
DFT (PBE) results for crystalline Ag6TeSeBr2 at its relaxed geometry.

POSCAR file:
```
Ag6TeSeBr2
1.0
6.218 -3.720 0.000
6.218 3.720 0.000
-3.732 0.000 5.720
Ag Te Se Br
6 1 1 2
Direct
0.145 0.654 0.640 Ag
0.243 0.243 0.838 Ag
0.346 0.855 0.360 Ag
0.654 0.145 0.640 Ag
0.757 0.757 0.162 Ag
0.855 0.346 0.360 Ag
0.500 0.500 0.000 Te
0.000 0.000 0.500 Se
0.249 0.249 0.257 Br
0.751 0.751 0.743 Br
```

Summary:
As for the space group: C2/m. The volume is 264.6 Å³ per cell. The value obtained for the density of states at the Fermi level is 0.060 states/eV/atom. Its uncorrected formation energy is -0.0996 eV/atom.

=====

Record 4
DFT (PBE) results for crystalline Ag2TeSe2Br at its relaxed geometry.

POSCAR file:
```
Ag2TeSe2Br
1.0
6.443 0.000 0.000
0.000 6.773 0.000
-1.795 0.000 8.394
Ag Te Se Br
4 2 4 2
Direct
0.089 0.031 0.220 Ag
0.089 0.469 0.220 Ag
0.911 0.531 0.780 Ag
0.911 0.969 0.780 Ag
0.383 0.250 0.635 Te
0.617 0.750 0.365 Te
0.019 0.750 0.410 Se
0.435 0.250 0.354 Se
0.565 0.750 0.646 Se
0.981 0.250 0.590 Se
0.214 0.750 0.982 Br
0.786 0.250 0.018 Br
```

Summary:
As for the space group: P2_1/m. The volume is 366.3 Å³ per cell. The value obtained for the density of states at the Fermi level is 0.219 states/eV/atom. Its uncorrected formation energy is -0.0972 eV/atom.

=====

Record 5
DFT (PBE) results for crystalline Ag7TeSe2Br2 at its relaxed geometry.

POSCAR file:
```
Ag7TeSe2Br2
1.0
-2.287 10.274 3.504
2.287 -10.274 3.504
2.287 10.274 -3.504
Ag Te Se Br
7 1 2 2
Direct
0.000 0.000 0.000 Ag
0.092 0.868 0.224 Ag
0.301 0.378 0.923 Ag
0.455 0.378 0.077 Ag
0.644 0.868 0.776 Ag
0.817 0.393 0.424 Ag
0.969 0.393 0.576 Ag
0.262 0.762 0.500 Te
0.639 0.744 0.895 Se
0.849 0.744 0.105 Se
0.059 0.266 0.792 Br
0.474 0.266 0.208 Br
```

Summary:
As for the space group: Imm2. The volume is 329.3 Å³ per cell. The value obtained for the density of states at the Fermi level is 0.430 states/eV/atom. Its uncorrected formation energy is -0.1179 eV/atom.

=====

Record 6
DFT (PBE) results for crystalline Ag7Te2SeBr2 at its relaxed geometry.

POSCAR file:
```
Ag7Te2SeBr2
1.0
-2.319 13.208 2.733
2.319 -13.208 2.733
2.319 13.208 -2.733
Ag Te Se Br
7 2 1 2
Direct
0.000 0.000 0.000 Ag
0.138 0.704 0.434 Ag
0.252 0.036 0.215 Ag
0.269 0.704 0.566 Ag
0.456 0.517 0.939 Ag
0.578 0.517 0.061 Ag
0.821 0.036 0.785 Ag
0.106 0.999 0.107 Te
0.892 0.999 0.893 Te
0.588 0.088 0.500 Se
0.312 0.535 0.777 Br
0.758 0.535 0.223 Br
```

Summary:
As for the space group: Imm2. The volume is 334.7 Å³ per cell. The value obtained for the density of states at the Fermi level is 0.747 states/eV/atom. Its uncorrected formation energy is -0.0973 eV/atom.